No. 1
Below is an optimized crystal structure of PmScS2, with properties calculated at the GGA-PBE level.

The structure in POSCAR format:
```
PmScS2
1.0
-0.4885 1.0432 3.6523
2.8424 -0.4717 2.5227
2.9860 6.0617 0.6758
S Pm Sc
2 1 1
Cartesian
1.2727 1.4921 1.7518 S
4.0672 5.1411 5.0990 S
2.6699 3.3166 3.4254 Pm
0.0000 0.0000 0.0000 Sc
```

ΔE to the lowest computed polymorph: 0.0 meV/atom
SG: R-3m
ΔE_f (raw): -1.935 eV/atom

***

No. 2
Below is an optimized crystal structure of Al2CuH, with properties calculated at the GGA-PBE level.

The structure in POSCAR format:
```
Al2CuH
1.0
-1.6834 4.2338 -0.1117
-1.2477 -0.6107 -4.3407
-6.4817 -0.1377 -0.5101
Cu H Al
2 2 4
Cartesian
0.0000 0.0000 0.0000 Cu
-4.8153 2.9538 -1.4240 Cu
-4.5975 0.5316 -3.5385 H
-1.4656 1.8115 -2.2262 H
-6.0911 1.1915 -2.5067 Al
-2.7869 0.5564 -2.8661 Al
-7.2954 3.1309 -3.8239 Al
-2.6523 2.0921 -0.7282 Al
```

SG: I-42d

***

No. 3
Below is an optimized crystal structure of KMnSi2, with properties calculated at the GGA-PBE level.

The structure in POSCAR format:
```
KMnSi2
1.0
4.8407 0.0015 0.0000
0.0674 4.8402 0.0000
-2.4540 -2.4208 3.3984
K Si Mn
1 2 1
Cartesian
2.4540 2.4208 0.0000 K
0.0337 2.4201 1.6992 Si
0.0000 0.0000 0.0000 Si
2.4203 0.0008 1.6992 Mn
```

ΔE to the lowest computed polymorph: 806.0 meV/atom
SG: I-4m2
ΔE_f (raw): 0.882 eV/atom

***

Number 1: total DFT energy (no corrections) -6.77 eV/atom. Number 2: total DFT energy (no corrections) -3.39 eV/atom. Number 3: total DFT energy (no corrections) -4.40 eV/atom.